Entry 1:
CdBPd4 | PBE | optimized geometry

Cell lengths 5.502, 5.502, 6.756 Å; angles 90.00, 90.00, 90.00 degrees
Space group P4/mbm (No. 127)
Symmetry-distinct sites (fractional):
Cd 0.000 0.500 0.000 x2
B 0.000 0.000 0.500 x2
Pd 0.000 0.000 0.194 x4
Pd 0.167 0.333 0.500 x4

Results
Size of the total moment, μB/atom: 0.00
N(E_F), states/eV/f.u.: 2.655
Excess energy over the best structure of this formula in the dataset, meV/atom: 189
Energy of formation from the pure elements, kJ/mol of atoms: -7.7
Calculated volume, Å³/f.u.: 102

=====

Entry 2:
LaBrOF2 | PBE | optimized geometry

Cell lengths 4.951, 4.951, 3.811 Å; angles 90.00, 90.00, 90.00 degrees
Space group P4/mmm (No. 123)
Symmetry-distinct sites (fractional):
La 0.000 0.000 0.000 x1
Br 0.500 0.500 0.500 x1
O 0.500 0.500 0.000 x1
F 0.000 0.500 0.500 x2

Results
Size of the total moment, μB/atom: 0.08
N(E_F), states/eV/f.u.: 4.392
Excess energy over the best structure of this formula in the dataset, meV/atom: 1108
E_form (uncorrected), meV/atom: -1209.1
Calculated volume, Å³/f.u.: 93

=====

Entry 3:
ReHgOs | PBE | optimized geometry

Cell lengths 2.866, 4.834, 14.774 Å; angles 90.00, 90.00, 90.00 degrees
Space group Fmm2 (No. 42)
Symmetry-distinct sites (fractional):
Re 0.000 0.000 0.000 x4
Hg 0.000 0.000 0.679 x4
Os 0.000 0.000 0.357 x4

Results
Size of the total moment, μB/atom: 0.03
N(E_F), states/eV/f.u.: 2.774
Excess energy over the best structure of this formula in the dataset, meV/atom: 295
Energy of formation from the pure elements, kJ/mol of atoms: 70.9
Calculated volume, Å³/f.u.: 51

=====

Entry 4:
KNa2Hf | PBE | optimized geometry

Cell lengths 8.962, 8.962, 7.252 Å; angles 90.00, 90.00, 90.00 degrees
Space group I-42d (No. 122)
Symmetry-distinct sites (fractional):
K 0.000 0.000 0.000 x4
Na 0.249 0.250 0.625 x8
Hf 0.000 0.000 0.500 x4

Results
Size of the total moment, μB/atom: 0.50
N(E_F), states/eV/f.u.: 5.019
Excess energy over the best structure of this formula in the dataset, meV/atom: 471
Energy of formation from the pure elements, kJ/mol of atoms: 106.4
Calculated volume, Å³/f.u.: 146

=====

Entry 5:
Li2TbPm2Tl2 | PBE | optimized geometry

Cell lengths 4.8630, 4.8630, 27.2755 Å; angles 90.00, 90.00, 120.00 degrees
Space group R-3m (No. 166, hexagonal axes)
Symmetry-distinct sites (fractional):
Li 0.0000 0.0000 0.1081 x6
Tb 0.0000 0.0000 0.5000 x3
Pm 0.0000 0.0000 0.3736 x6
Tl 0.0000 0.0000 0.2348 x6

Results
Size of the total moment, μB/atom: 0.00
N(E_F), states/eV/f.u.: 5.795
Energy of formation from the pure elements, kJ/mol of atoms: -18.5
Calculated volume, Å³/f.u.: 186

=====

Entry 6:
LaZn2Ga | PBE | optimized geometry

Cell lengths 6.676, 4.689, 10.605 Å; angles 90.00, 90.00, 90.00 degrees
Space group Amm2 (No. 38)
Symmetry-distinct sites (fractional):
La 0.000 0.000 0.000 x2
La 0.500 0.000 0.209 x2
Zn 0.000 0.000 0.305 x2
Zn 0.310 0.000 0.484 x4
Zn 0.500 0.000 0.906 x2
Ga 0.194 0.000 0.718 x4

Results
Size of the total moment, μB/atom: 0.00
N(E_F), states/eV/f.u.: 1.195
Energy of formation from the pure elements, kJ/mol of atoms: -42.6
Calculated volume, Å³/f.u.: 83

=====

Entry 7:
Mg2TlCo2 | PBE | optimized geometry

Cell lengths 6.480, 6.480, 4.072 Å; angles 90.00, 90.00, 90.00 degrees
Space group P4/mbm (No. 127)
Symmetry-distinct sites (fractional):
Mg 0.164 0.336 0.000 x4
Tl 0.000 0.000 0.500 x2
Co 0.122 0.622 0.500 x4

Results
Size of the total moment, μB/atom: 0.00
N(E_F), states/eV/f.u.: 2.155
Excess energy over the best structure of this formula in the dataset, meV/atom: 0
Energy of formation from the pure elements, kJ/mol of atoms: 15.1
Calculated volume, Å³/f.u.: 85

=====

Entry 8:
MnCd2Rh | PBE | optimized geometry

Cell lengths 5.718, 7.903, 3.064 Å; angles 90.00, 90.00, 90.00 degrees
Space group Cmmm (No. 65)
Symmetry-distinct sites (fractional):
Mn 0.000 0.000 0.000 x2
Cd 0.250 0.250 0.500 x4
Rh 0.000 0.500 0.000 x2

Results
Size of the total moment, μB/atom: 1.05
N(E_F), states/eV/f.u.: 1.691
Excess energy over the best structure of this formula in the dataset, meV/atom: 87
Energy of formation from the pure elements, kJ/mol of atoms: 6.2
Calculated volume, Å³/f.u.: 69

=====

Entry 9:
V2InIr2 | PBE | optimized geometry

Cell lengths 4.110, 4.110, 10.391 Å; angles 90.00, 90.00, 90.00 degrees
Space group I4/mmm (No. 139)
Symmetry-distinct sites (fractional):
V 0.000 0.500 0.250 x4
In 0.000 0.000 0.000 x2
Ir 0.000 0.000 0.378 x4

Results
Size of the total moment, μB/atom: 0.11
N(E_F), states/eV/f.u.: 4.102
Energy of formation from the pure elements, kJ/mol of atoms: -17.0
Calculated volume, Å³/f.u.: 88